Computed, not measured: a relaxed structure of BaZrW2 at the PBE level of DFT.

Cell: 3.292 3.292 8.993 Å, 90.00 90.00 90.00°
Fractional positions:
W  0.500  0.500  0.224
W  0.000  0.000  0.076
Ba  0.500  0.500  0.783
Zr  0.000  0.000  0.417

---

Computed, not measured: a relaxed structure of BaZrW at the PBE level of DFT.

Cell: 3.440 3.440 7.881 Å, 90.00 90.00 120.00°
Fractional positions:
Zr  0.333  0.667  0.603
Ba  0.000  0.000  0.029
W  0.667  0.333  0.368

---

| no. | calculated volume (Å³/cell) | polymorph energy (0 for the lowest one) (meV/atom) | energy of formation (eV/f.u.) |
| --- | --- | --- | --- |
| 1 | 97.4 | 0.0 | 2.265 |
| 2 | 80.8 | 193.7 | 2.930 |